[1]
# BaNa2SiC (PBE, relaxed)
# Magnetic moment   0.00 μB per cell
# Calculated volume   110.6 Å³ per cell
# Formation energy from raw total energies   0.649 eV/atom
# VASP energy   -3.19 eV/atom
data_BaNa2SiC
_chemical_formula_sum 'Ba1 Na2 Si1 C1'
_cell_length_a 5.144
_cell_length_b 5.144
_cell_length_c 4.178
_cell_angle_alpha 90.00
_cell_angle_beta 90.00
_cell_angle_gamma 90.00
_symmetry_space_group_name_H-M 'P 4/m m m'
_symmetry_Int_Tables_number 123
_symmetry_space_group_name_Hall '-P 4 2'
loop_
_atom_site_label
_atom_site_type_symbol
_atom_site_fract_x
_atom_site_fract_y
_atom_site_fract_z
Ba1 Ba 0.000 0.000 0.000
Na1 Na 0.000 0.500 0.500
Si1 Si 0.500 0.500 0.000
C1 C 0.500 0.500 0.500

***

[2]
# TmCd3Hg6 (PBE, relaxed)
# Magnetic moment   0.00 μB per cell
# Calculated volume   513.0 Å³ per cell
# Offset from the most stable computed form   0.022 eV per atom
# VASP energy   -0.98 eV/atom
# ΔH_f (0 K)   -1.78 kcal/mol of atoms
data_TmCd3Hg6
_chemical_formula_sum 'Tm2 Cd6 Hg12'
_cell_length_a 10.525
_cell_length_b 4.513
_cell_length_c 11.716
_cell_angle_alpha 90.00
_cell_angle_beta 112.81
_cell_angle_gamma 90.00
_symmetry_space_group_name_H-M 'P 1 21/m 1'
_symmetry_Int_Tables_number 11
loop_
_symmetry_equiv_pos_as_xyz
'x,y,z'
'-x,-y,-z'
'-x,y+1/2,-z'
'x,-y+1/2,z'
loop_
_atom_site_label
_atom_site_type_symbol
_atom_site_fract_x
_atom_site_fract_y
_atom_site_fract_z
Tm1 Tm 0.000 0.250 0.129
Cd1 Cd 0.160 0.250 0.536
Cd2 Cd 0.301 0.250 0.346
Cd3 Cd 0.412 0.750 0.011
Hg1 Hg 0.066 0.750 0.349
Hg2 Hg 0.183 0.750 0.715
Hg3 Hg 0.209 0.250 0.947
Hg4 Hg 0.211 0.750 0.150
Hg5 Hg 0.476 0.250 0.608
Hg6 Hg 0.494 0.750 0.789

***

[3]
# TmMo2C2 (PBE, relaxed)
# Magnetic moment   0.00 μB per cell
# Calculated volume   567.7 Å³ per cell
# VASP energy   -9.00 eV/atom
# ΔH_f (0 K)   -2.04 kcal/mol of atoms
data_TmMo2C2
_chemical_formula_sum 'Tm8 Mo16 C16'
_cell_length_a 7.118
_cell_length_b 8.734
_cell_length_c 9.132
_cell_angle_alpha 90.00
_cell_angle_beta 90.00
_cell_angle_gamma 90.00
_symmetry_space_group_name_H-M 'F d d d'
_symmetry_Int_Tables_number 70
loop_
_symmetry_equiv_pos_as_xyz
'x,y,z'
'-x,-y,-z'
'-x+1/4,-y+1/4,z'
'x+1/4,y+1/4,-z'
'x,-y+1/4,-z+1/4'
'-x,y+1/4,z+1/4'
'-x+1/4,y,-z+1/4'
'x+1/4,-y,z+1/4'
'x,y+1/2,z+1/2'
'-x,-y+1/2,-z+1/2'
'-x+1/4,-y+3/4,z+1/2'
'x+1/4,y+3/4,-z+1/2'
'x,-y+3/4,-z+3/4'
'-x,y+3/4,z+3/4'
'-x+1/4,y+1/2,-z+3/4'
'x+1/4,-y+1/2,z+3/4'
'x+1/2,y,z+1/2'
'-x+1/2,-y,-z+1/2'
'-x+3/4,-y+1/4,z+1/2'
'x+3/4,y+1/4,-z+1/2'
'x+1/2,-y+1/4,-z+3/4'
'-x+1/2,y+1/4,z+3/4'
'-x+3/4,y,-z+3/4'
'x+3/4,-y,z+3/4'
'x+1/2,y+1/2,z'
'-x+1/2,-y+1/2,-z'
'-x+3/4,-y+3/4,z'
'x+3/4,y+3/4,-z'
'x+1/2,-y+3/4,-z+1/4'
'-x+1/2,y+3/4,z+1/4'
'-x+3/4,y+1/2,-z+1/4'
'x+3/4,-y+1/2,z+1/4'
loop_
_atom_site_label
_atom_site_type_symbol
_atom_site_fract_x
_atom_site_fract_y
_atom_site_fract_z
Tm1 Tm 0.125 0.125 0.125
Mo1 Mo 0.125 0.125 0.483
C1 C 0.125 0.337 0.625

***

[4]
# Zr2PaV (PBE, relaxed)
# Magnetic moment   1.70 μB per cell
# Calculated volume   86.0 Å³ per cell
# Offset from the most stable computed form   0.000 eV per atom
# VASP energy   -8.74 eV/atom
# ΔH_f (0 K)   4.44 kcal/mol of atoms
data_Zr2PaV
_chemical_formula_sum 'Zr2 Pa1 V1'
_cell_length_a 3.259
_cell_length_b 3.259
_cell_length_c 8.097
_cell_angle_alpha 90.00
_cell_angle_beta 90.00
_cell_angle_gamma 90.00
_symmetry_space_group_name_H-M 'P 4/m m m'
_symmetry_Int_Tables_number 123
_symmetry_space_group_name_Hall '-P 4 2'
loop_
_atom_site_label
_atom_site_type_symbol
_atom_site_fract_x
_atom_site_fract_y
_atom_site_fract_z
Zr1 Zr 0.000 0.000 0.212
Pa1 Pa 0.500 0.500 0.500
V1 V 0.500 0.500 0.000